## VGaRh2Au (PBE-GGA)

Data for a relaxed structure of VGaRh2Au.

Summary:
- Calculated formation energy: 0.877 eV/atom
- Total energy: -25.74 eV/cell

CIF file:
```
data_VGaRh2Au
_cell_length_a 4.5246
_cell_length_b 4.5246
_cell_length_c 4.6428
_cell_angle_alpha 90.00
_cell_angle_beta 90.00
_cell_angle_gamma 90.00
_symmetry_space_group_name_H-M 'P 4/m m m'
_symmetry_Int_Tables_number 123
_symmetry_space_group_name_Hall '-P 4 2'
loop_
_atom_site_label
_atom_site_fract_x
_atom_site_fract_y
_atom_site_fract_z
V1 0.0000 0.0000 0.0000
Ga1 0.5000 0.5000 0.5000
Rh1 0.0000 0.5000 0.5000
Au1 0.5000 0.5000 0.0000
```



## Y2Ga4RhAu3 (PBE-GGA)

Data for a relaxed structure of Y2Ga4RhAu3.

Summary:
- Calculated formation energy: -0.651 eV/atom
- Total energy: -48.73 eV/cell

CIF file:
```
data_Y2Ga4RhAu3
_cell_length_a 4.1632
_cell_length_b 4.1632
_cell_length_c 11.2096
_cell_angle_alpha 90.00
_cell_angle_beta 90.00
_cell_angle_gamma 90.00
_symmetry_space_group_name_H-M 'P -4 m 2'
_symmetry_Int_Tables_number 115
_symmetry_space_group_name_Hall 'P -4 -2'
loop_
_atom_site_label
_atom_site_fract_x
_atom_site_fract_y
_atom_site_fract_z
Y1 0.0000 0.5000 0.2431
Ga1 0.0000 0.0000 0.5000
Ga2 0.0000 0.5000 0.8689
Ga3 0.5000 0.5000 0.5000
Rh1 0.5000 0.5000 0.0000
Au1 0.0000 0.0000 0.0000
Au2 0.0000 0.5000 0.6453
```